# Nd6HoTl5

A relaxed structure of Nd6HoTl5 (PBE, Alexandria). Values from VASP.

Geometry as Quantum ESPRESSO input:
```
&SYSTEM
  ibrav = 0, nat = 12, ntyp = 3
/
ATOMIC_SPECIES
Nd 144.24 Nd.upf
Ho 164.93 Ho.upf
Tl 204.38 Tl.upf
CELL_PARAMETERS angstrom
-2.554 4.561 7.763
2.554 -4.561 7.763
2.554 4.561 -7.763
ATOMIC_POSITIONS angstrom
Nd 2.554 2.183 -2.659
Nd 0.000 2.130 0.000
Nd 2.554 2.183 2.659
Nd 0.000 2.378 5.105
Nd 0.000 6.992 0.000
Nd 0.000 2.378 10.422
Ho 0.000 0.000 7.763
Tl 2.554 0.000 0.000
Tl 0.000 0.000 2.691
Tl 2.554 0.000 5.441
Tl 0.000 4.561 2.322
Tl 0.000 0.000 12.835
```

As for the symmetry: Immm (71). The relative energy among the computed polymorphs is 0 meV per atom. As for the formation energy: -0.300 eV per atom.